[1]
PBE ZnMoPt2, relaxed; D(E_F) = 4.0 states/eV/cell; space-group type = Pmmm, No. 47; raw total energy = -6.06 eV/atom; energy of formation from the pure elements = -16 meV/atom
1.0
2.784 0.000 0.000
0.000 4.752 0.000
0.000 0.000 4.680
Zn Pt Mo
1 2 1
direct
0.500 0.000 0.500
0.500 0.500 0.000
0.000 0.000 0.000
0.000 0.500 0.500

---

[2]
PBE Pr4Er, relaxed; D(E_F) = 8.2 states/eV/cell; space-group type = Pm-3m, No. 221; raw total energy = -4.11 eV/atom; energy of formation from the pure elements = 623 meV/atom
1.0
5.884 0.000 0.000
0.000 5.884 0.000
0.000 0.000 5.884
Pr Er
4 1
direct
0.000 0.500 0.500
0.500 0.500 0.000
0.000 0.000 0.000
0.500 0.000 0.500
0.500 0.500 0.500

---

[3]
PBE HoBi2BrO4, relaxed; space-group type = P4/mmm, No. 123; raw total energy = -6.23 eV/atom; ΔE_f (raw) = -2.002 eV per atom
1.0
-3.753 0.280 -1.050
0.501 -2.903 -2.566
-2.304 -6.214 6.581
O Bi Ho Br
4 2 1 1
direct
0.500 0.000 0.853
0.500 0.000 0.147
0.000 0.500 0.147
0.000 0.500 0.853
0.500 0.500 0.267
0.500 0.500 0.733
0.000 0.000 0.000
0.000 0.000 0.500

---

[4]
PBE DyY3Ga2, relaxed; D(E_F) = 13.6 states/eV/cell; space-group type = Ibam, No. 72; raw total energy = -5.23 eV/atom; energy of formation from the pure elements = -225 meV/atom
1.0
-0.982 5.015 4.669
3.892 -3.719 4.813
4.482 2.628 -7.011
Y Ga Dy
6 4 2
direct
0.500 0.750 0.000
0.224 0.974 0.448
0.776 0.526 0.552
0.500 0.250 0.000
0.224 0.474 0.448
0.776 0.026 0.552
0.162 0.863 0.727
0.565 0.363 0.727
0.435 0.637 0.273
0.838 0.137 0.273
0.000 0.500 0.000
0.000 0.000 0.000

---

[5]
PBE In2MoCl, relaxed; D(E_F) = 2.2 states/eV/cell; space-group type = I4/mmm, No. 139; raw total energy = -3.98 eV/atom; ΔE_f (raw) = 0.555 eV per atom
1.0
-2.664 -4.393 -2.017
-2.850 -2.850 3.770
0.350 5.325 -1.408
Mo Cl In
1 1 2
direct
0.250 0.750 0.500
0.750 0.250 0.500
0.500 0.500 0.000
0.000 0.000 0.000

---

[6]
PBE Ba2CaInAs, relaxed; D(E_F) = 5.8 states/eV/cell; space-group type = P4/mmm, No. 123; raw total energy = -2.57 eV/atom; energy of formation from the pure elements = 75 meV/atom
1.0
-0.807 6.595 -0.849
0.004 -0.681 -5.295
-6.650 -0.801 0.098
In As Ca Ba
1 1 1 2
direct
0.000 0.000 0.000
0.000 0.500 0.000
0.500 0.500 0.500
0.500 0.000 0.000
0.000 0.000 0.500